No. 1
# Tm2ThSc5 PBE optimized geometry
data_Tm2ThSc5
_chemical_formula_sum 'Tm4 Th2 Sc10'
_cell_length_a 6.6784
_cell_length_b 13.3866
_cell_length_c 4.7929
_cell_angle_alpha 90.00
_cell_angle_beta 90.00
_cell_angle_gamma 90.00
_symmetry_space_group_name_H-M 'P b a m'
_symmetry_Int_Tables_number 55
_symmetry_space_group_name_Hall '-P 2 2ab'
loop_
_atom_site_label
_atom_site_type_symbol
_atom_site_fract_x
_atom_site_fract_y
_atom_site_fract_z
_atom_site_occupancy
Tm1 Tm 0.2423 0.1269 0.0000 1
Th1 Th 0.0000 0.5000 0.5000 1
Sc1 Sc 0.0000 0.0000 0.5000 1
Sc2 Sc 0.0106 0.7501 0.5000 1
Sc3 Sc 0.2400 0.3760 0.0000 1
# energy of formation from the pure elements	0.361	eV/f.u.
# relative energy among the computed polymorphs	15.2	meV/atom


No. 2
# Tm2ThSc7 PBE optimized geometry
data_Tm2ThSc7
_chemical_formula_sum 'Tm4 Th2 Sc14'
_cell_length_a 6.0166
_cell_length_b 27.0455
_cell_length_c 3.3107
_cell_angle_alpha 90.00
_cell_angle_beta 90.00
_cell_angle_gamma 90.00
_symmetry_space_group_name_H-M 'C m m m'
_symmetry_Int_Tables_number 65
_symmetry_space_group_name_Hall '-C 2 2'
loop_
_atom_site_label
_atom_site_type_symbol
_atom_site_fract_x
_atom_site_fract_y
_atom_site_fract_z
_atom_site_occupancy
Tm1 Tm 0.0000 0.2106 0.0000 1
Th1 Th 0.0000 0.5000 0.5000 1
Sc1 Sc 0.0000 0.0000 0.0000 1
Sc2 Sc 0.0000 0.3167 0.5000 1
Sc3 Sc 0.2470 0.4010 0.0000 1
# energy of formation from the pure elements	1.473	eV/f.u.
# relative energy among the computed polymorphs	13.9	meV/atom


No. 3
# TmTh2Sc8 PBE optimized geometry
data_TmTh2Sc8
_chemical_formula_sum 'Tm1 Th2 Sc8'
_cell_length_a 5.7386
_cell_length_b 7.4680
_cell_length_c 7.5480
_cell_angle_alpha 107.20
_cell_angle_beta 105.53
_cell_angle_gamma 98.01
_symmetry_space_group_name_H-M 'P -1'
_symmetry_Int_Tables_number 2
_symmetry_space_group_name_Hall '-P 1'
loop_
_atom_site_label
_atom_site_type_symbol
_atom_site_fract_x
_atom_site_fract_y
_atom_site_fract_z
_atom_site_occupancy
Tm1 Tm 0.0000 0.0000 0.0000 1
Th1 Th 0.0935 0.8125 0.3636 1
Sc1 Sc 0.1835 0.6373 0.7268 1
Sc2 Sc 0.2710 0.4577 0.0886 1
Sc3 Sc 0.3568 0.2771 0.4564 1
Sc4 Sc 0.4470 0.0924 0.8155 1
# energy of formation from the pure elements	0.403	eV/f.u.
# relative energy among the computed polymorphs	0.0	meV/atom


No. 4
# Tm3Th2Sc4 PBE optimized geometry
data_Tm3Th2Sc4
_chemical_formula_sum 'Tm12 Th8 Sc16'
_cell_length_a 15.8465
_cell_length_b 11.1630
_cell_length_c 5.7523
_cell_angle_alpha 90.00
_cell_angle_beta 97.78
_cell_angle_gamma 90.00
_symmetry_space_group_name_H-M 'C 1 2/c 1'
_symmetry_Int_Tables_number 15
_symmetry_space_group_name_Hall '-C 2yc'
loop_
_atom_site_label
_atom_site_type_symbol
_atom_site_fract_x
_atom_site_fract_y
_atom_site_fract_z
_atom_site_occupancy
Tm1 Tm 0.0000 0.1246 0.2500 1
Tm2 Tm 0.1617 0.3881 0.1035 1
Th1 Th 0.1195 0.1295 0.7942 1
Sc1 Sc 0.0491 0.3756 0.5340 1
Sc2 Sc 0.2296 0.1366 0.3421 1
# energy of formation from the pure elements	0.983	eV/f.u.


No. 5
# TmTh5Sc5 PBE optimized geometry
data_TmTh5Sc5
_chemical_formula_sum 'Tm2 Th10 Sc10'
_cell_length_a 18.1659
_cell_length_b 5.6966
_cell_length_c 6.7381
_cell_angle_alpha 90.00
_cell_angle_beta 111.69
_cell_angle_gamma 90.00
_symmetry_space_group_name_H-M 'C 1 2/m 1'
_symmetry_Int_Tables_number 12
_symmetry_space_group_name_Hall '-C 2y'
loop_
_atom_site_label
_atom_site_type_symbol
_atom_site_fract_x
_atom_site_fract_y
_atom_site_fract_z
_atom_site_occupancy
Tm1 Tm 0.0000 0.0000 0.0000 1
Th1 Th 0.0000 0.0000 0.5000 1
Th2 Th 0.1342 0.5000 0.6351 1
Th3 Th 0.1786 0.5000 0.1794 1
Sc1 Sc 0.0000 0.5000 0.0000 1
Sc2 Sc 0.1683 0.0000 0.4150 1
Sc3 Sc 0.1683 0.0000 0.9220 1
# energy of formation from the pure elements	3.554	eV/f.u.


No. 6
# TmTh6Sc4 PBE optimized geometry
data_TmTh6Sc4
_chemical_formula_sum 'Tm2 Th12 Sc8'
_cell_length_a 6.8680
_cell_length_b 6.8680
_cell_length_c 14.1573
_cell_angle_alpha 90.00
_cell_angle_beta 90.00
_cell_angle_gamma 90.00
_symmetry_space_group_name_H-M 'I -4 2 m'
_symmetry_Int_Tables_number 121
_symmetry_space_group_name_Hall 'I -4 2'
loop_
_atom_site_label
_atom_site_type_symbol
_atom_site_fract_x
_atom_site_fract_y
_atom_site_fract_z
_atom_site_occupancy
Tm1 Tm 0.0000 0.0000 0.0000 1
Th1 Th 0.0000 0.5000 0.0000 1
Th2 Th 0.2060 0.2060 0.1847 1
Sc1 Sc 0.1623 0.1623 0.4035 1
# energy of formation from the pure elements	4.381	eV/f.u.


No. 7
# Tm5Th2Sc2 PBE optimized geometry
data_Tm5Th2Sc2
_chemical_formula_sum 'Tm20 Th8 Sc8'
_cell_length_a 14.9827
_cell_length_b 12.6786
_cell_length_c 5.7229
_cell_angle_alpha 90.00
_cell_angle_beta 90.00
_cell_angle_gamma 90.00
_symmetry_space_group_name_H-M 'I m a 2'
_symmetry_Int_Tables_number 46
_symmetry_space_group_name_Hall 'I 2 -2a'
loop_
_atom_site_label
_atom_site_type_symbol
_atom_site_fract_x
_atom_site_fract_y
_atom_site_fract_z
_atom_site_occupancy
Tm1 Tm 0.0417 0.1801 0.0000 1
Tm2 Tm 0.1433 0.6902 0.8639 1
Tm3 Tm 0.2500 0.1829 0.8253 1
Th1 Th 0.0000 0.0000 0.4607 1
Th2 Th 0.2500 0.0501 0.3533 1
Sc1 Sc 0.1457 0.5500 0.3736 1
# energy of formation from the pure elements	1.907	eV/f.u.
# relative energy among the computed polymorphs	0.0	meV/atom


No. 8
# Tm3Th4Sc2 PBE optimized geometry
data_Tm3Th4Sc2
_chemical_formula_sum 'Tm12 Th16 Sc8'
_cell_length_a 16.1431
_cell_length_b 11.3926
_cell_length_c 5.8926
_cell_angle_alpha 90.00
_cell_angle_beta 98.29
_cell_angle_gamma 90.00
_symmetry_space_group_name_H-M 'C 1 2/c 1'
_symmetry_Int_Tables_number 15
_symmetry_space_group_name_Hall '-C 2yc'
loop_
_atom_site_label
_atom_site_type_symbol
_atom_site_fract_x
_atom_site_fract_y
_atom_site_fract_z
_atom_site_occupancy
Tm1 Tm 0.0000 0.1084 0.2500 1
Tm2 Tm 0.1747 0.3707 0.0731 1
Th1 Th 0.0577 0.3756 0.5190 1
Th2 Th 0.2140 0.1227 0.3837 1
Sc1 Sc 0.1069 0.1328 0.8193 1
# energy of formation from the pure elements	1.085	eV/f.u.
# relative energy among the computed polymorphs	0.0	meV/atom


No. 9
# Tm7Th2Sc2 PBE optimized geometry
data_Tm7Th2Sc2
_chemical_formula_sum 'Tm14 Th4 Sc4'
_cell_length_a 13.2877
_cell_length_b 6.6691
_cell_length_c 8.2722
_cell_angle_alpha 90.00
_cell_angle_beta 112.99
_cell_angle_gamma 90.00
_symmetry_space_group_name_H-M 'C 1 2/m 1'
_symmetry_Int_Tables_number 12
_symmetry_space_group_name_Hall '-C 2y'
loop_
_atom_site_label
_atom_site_type_symbol
_atom_site_fract_x
_atom_site_fract_y
_atom_site_fract_z
_atom_site_occupancy
Tm1 Tm 0.0000 0.0000 0.0000 1
Tm2 Tm 0.0810 0.5000 0.8817 1
Tm3 Tm 0.1977 0.2494 0.2810 1
Th1 Th 0.0000 0.2452 0.5000 1
Sc1 Sc 0.1664 0.0000 0.8790 1
# energy of formation from the pure elements	3.401	eV/f.u.
# relative energy among the computed polymorphs	166.5	meV/atom


No. 10
# Tm8ThSc2 PBE optimized geometry
data_Tm8ThSc2
_chemical_formula_sum 'Tm16 Th2 Sc4'
_cell_length_a 5.2279
_cell_length_b 8.1061
_cell_length_c 15.5580
_cell_angle_alpha 90.00
_cell_angle_beta 90.00
_cell_angle_gamma 90.00
_symmetry_space_group_name_H-M 'I m m m'
_symmetry_Int_Tables_number 71
_symmetry_space_group_name_Hall '-I 2 2'
loop_
_atom_site_label
_atom_site_type_symbol
_atom_site_fract_x
_atom_site_fract_y
_atom_site_fract_z
_atom_site_occupancy
Tm1 Tm 0.0000 0.0000 0.1589 1
Tm2 Tm 0.0000 0.2074 0.3521 1
Tm3 Tm 0.0000 0.2957 0.0000 1
Th1 Th 0.0000 0.5000 0.5000 1
Sc1 Sc 0.0000 0.5000 0.2007 1
# energy of formation from the pure elements	1.450	eV/f.u.
# relative energy among the computed polymorphs	85.8	meV/atom


No. 11
# Tm6ThSc PBE optimized geometry
data_Tm6ThSc
_chemical_formula_sum 'Tm6 Th1 Sc1'
_cell_length_a 4.9343
_cell_length_b 4.9343
_cell_length_c 9.7676
_cell_angle_alpha 90.00
_cell_angle_beta 90.00
_cell_angle_gamma 90.00
_symmetry_space_group_name_H-M 'P 4/m m m'
_symmetry_Int_Tables_number 123
_symmetry_space_group_name_Hall '-P 4 2'
loop_
_atom_site_label
_atom_site_type_symbol
_atom_site_fract_x
_atom_site_fract_y
_atom_site_fract_z
_atom_site_occupancy
Tm1 Tm 0.0000 0.0000 0.0000 1
Tm2 Tm 0.0000 0.0000 0.5000 1
Tm3 Tm 0.0000 0.5000 0.2463 1
Th1 Th 0.5000 0.5000 0.5000 1
Sc1 Sc 0.5000 0.5000 0.0000 1
# energy of formation from the pure elements	0.379	eV/f.u.


No. 12
# Tm4Th6Sc PBE optimized geometry
data_Tm4Th6Sc
_chemical_formula_sum 'Tm8 Th12 Sc2'
_cell_length_a 6.4158
_cell_length_b 6.4158
_cell_length_c 17.3166
_cell_angle_alpha 90.00
_cell_angle_beta 90.00
_cell_angle_gamma 90.00
_symmetry_space_group_name_H-M 'I -4 2 m'
_symmetry_Int_Tables_number 121
_symmetry_space_group_name_Hall 'I -4 2'
loop_
_atom_site_label
_atom_site_type_symbol
_atom_site_fract_x
_atom_site_fract_y
_atom_site_fract_z
_atom_site_occupancy
Tm1 Tm 0.1825 0.1825 0.3751 1
Th1 Th 0.0000 0.5000 0.0000 1
Th2 Th 0.1864 0.1864 0.1828 1
Sc1 Sc 0.0000 0.0000 0.0000 1
# energy of formation from the pure elements	4.419	eV/f.u.